KMg3Sn: optimized geometry, PBE.

Output
E above lowest polymorph = 0.8233 eV/atom
Crystal system = cubic
ρ = 1.94 g/cm3
Uncorrected energy = -0.923 eV/atom

Geometry as extended XYZ:
```
5
Lattice="-1.1378 5.4865 1.5706 -3.2774 0.6828 -4.7598 -4.6720 -1.8152 2.9565" Properties=species:S:1:pos:R:3 pbc="T T T"
Sn -4.5436 2.1771 -0.1163
Mg -0.5689 2.7433 0.7853
Mg -1.6387 0.3414 -2.3799
Mg -2.3360 -0.9076 1.4783
K 0.0000 0.0000 0.0000
```

***

Be2CrSi: optimized geometry, PBE.

Output
Crystal system = tetragonal
ΔE_f (raw) = 0.208 eV/atom
ρ = 3.89 g/cm3
Uncorrected energy = -5.416 eV/atom

Geometry as extended XYZ:
```
4
Lattice="-1.8958 0.6624 -1.3261 0.9317 -1.1433 -1.9017 -3.4703 -6.0518 1.9380" Properties=species:S:1:pos:R:3 pbc="T T T"
Si -3.0942 -4.7957 -0.1551
Be -1.3010 -1.6687 -1.1565
Be -0.1045 -0.1822 0.0583
Cr -1.6698 -2.9119 0.9325
```

***

La4InCoTe: optimized geometry, PBE.

Output
Crystal system = orthorhombic
ΔE_f (raw) = -0.609 eV/atom
ρ = 6.39 g/cm3
Uncorrected energy = -5.280 eV/atom

Geometry as extended XYZ:
```
14
Lattice="-5.8670 1.2894 3.8367 -1.2094 -7.0101 0.5064 7.6857 -0.9327 5.4455" Properties=species:S:1:pos:R:3 pbc="T T T"
In 0.7521 -1.8164 1.7606
In -0.1429 -4.8370 8.0279
La -0.1998 -5.3005 1.4757
La 3.2381 -3.9714 2.9759
La 3.0877 -5.4997 6.5699
La 3.8429 -0.4663 2.7227
La 0.9093 0.1783 4.6411
La -2.4785 -1.1538 3.2186
La 0.3046 -3.3267 4.8943
La 0.8091 -1.3530 8.3128
Co 1.4776 -5.4021 4.0750
Co -0.8684 -1.2513 5.7135
Te 3.4028 -1.9771 5.8679
Te -2.7935 -4.6764 3.9206
```

***

Co2Tc2Ir: optimized geometry, PBE.

Output
E above lowest polymorph = 0.4338 eV/atom
Crystal system = tetragonal
ρ = 12.04 g/cm3
Uncorrected energy = -8.240 eV/atom

Geometry as extended XYZ:
```
5
Lattice="-3.6058 0.3960 1.0461 -0.9495 -2.9500 -2.1561 -1.5109 -4.2885 3.2278" Properties=species:S:1:pos:R:3 pbc="T T T"
Tc -3.6972 -2.5848 1.8594
Tc -2.3690 -4.2578 0.2584
Co -2.1177 -1.9051 0.2339
Co -3.9484 -4.9375 1.8839
Ir 0.0000 0.0000 0.0000
```